Record 1
DFT (GGA-PBEsol) results for a geometry-optimized K2NaAlCl6 structure.

Cell lengths 9.974, 9.974, 9.974 Å; angles 90.00, 90.00, 90.00 degrees
Space group Fm-3m (No. 225)
Asymmetric unit:
K 0.250 0.250 0.250 [8 per cell]
Na 0.000 0.000 0.000 [4 per cell]
Al 0.000 0.000 0.500 [4 per cell]
Cl 0.000 0.000 0.268 [24 per cell]

Output
Its density of states at the Fermi level is 0.0 states/eV/cell. Its calculated total energy is -3.743 eV/atom.



Record 2
DFT (GGA-PBEsol) results for a geometry-optimized KAlP2Cl structure.

Cell lengths 5.881, 5.881, 5.481 Å; angles 90.00, 90.00, 90.00 degrees
Space group P4/mmm (No. 123)
Asymmetric unit:
K 0.000 0.000 0.000 [1 per cell]
Al 0.500 0.500 0.500 [1 per cell]
P 0.000 0.500 0.000 [2 per cell]
Cl 0.000 0.000 0.500 [1 per cell]

Output
Its density of states at the Fermi level is 2.3 states/eV/cell. Its calculated total energy is -2.508 eV/atom.



What did we get for raw formation energy? Answer: -1763; 1256 meV per atom, in the order shown.